Compound: Pm4Sm5Tm3
Source: Alexandria via LeMat-Bulk
Functional: PBE
Structure: optimized geometry

Values from the calculation:
calculated total energy = -4.45 eV per atom
magnetization = 0.0 μB/f.u.
crystal system = monoclinic

abc: 5.9442 8.6742 9.7283
angles: 105.96 72.21 69.96
Element x y z (fractional)
Pm 0.8599 0.2225 0.0577
Pm 0.1617 0.0557 0.6210
Pm 0.8383 0.9443 0.3790
Pm 0.1401 0.7775 0.9423
Sm 0.6297 0.9440 0.7966
Sm 0.5000 0.5000 0.5000
Sm 0.2141 0.4584 0.1135
Sm 0.7859 0.5416 0.8865
Sm 0.3703 0.0560 0.2034
Tm 0.5202 0.6895 0.2700
Tm 0.0000 0.5000 0.5000
Tm 0.4798 0.3105 0.7300